No. 1
## ScGeTe2 (GGA-PBEsol)

Data for a relaxed structure of ScGeTe2.

```
ScGeTe2
1.0
1.891 1.092 9.409
-1.891 1.092 9.409
0.000 -2.183 9.409
Sc Ge Te
1 1 2
Cartesian
0.000 0.000 0.000
0.000 0.000 14.114
0.000 0.000 11.228
0.000 0.000 17.000
```

Output
Its density of states at the Fermi level is 0.36 states/eV per atom. Its total DFT energy (no corrections) is -20.28 eV per cell. The uncorrected formation energy comes out at -163 kJ/mol of formula units. Its volume is 29.1 Å³/atom.

No. 2
## BaBAs2Br (GGA-PBEsol)

Data for a relaxed structure of BaBAs2Br.

```
BaBAs2Br
1.0
4.389 0.000 0.000
0.000 4.389 0.000
0.000 0.000 6.195
Ba B As Br
1 1 2 1
Cartesian
0.000 0.000 0.000
2.194 2.194 3.098
0.000 2.194 3.098
2.194 0.000 3.098
2.194 2.194 0.000
```

Output
Its density of states at the Fermi level is 0.42 states/eV per atom. Its total DFT energy (no corrections) is -22.20 eV per cell. The uncorrected formation energy comes out at -92 kJ/mol of formula units. Its volume is 23.9 Å³/atom.

No. 3
## Ga2MoAsH (GGA-PBEsol)

Data for a relaxed structure of Ga2MoAsH.

```
Ga2MoAsH
1.0
4.922 0.000 0.000
0.000 4.922 0.000
0.000 0.000 3.467
Ga Mo As H
2 1 1 1
Cartesian
0.000 2.461 0.000
2.461 0.000 0.000
0.000 0.000 0.000
2.461 2.461 1.733
0.000 0.000 1.733
```

Output
Its density of states at the Fermi level is 0.85 states/eV per atom. Its total DFT energy (no corrections) is -23.44 eV per cell. Its volume is 16.8 Å³/atom.